Entry 1:
The following is a PBE calculation of a relaxed PmPrAl6 crystal, from Alexandria.

Cell and atoms, written as POSCAR:
```
PmPrAl6
1.0
-4.347 -1.335 -0.979
1.437 -0.037 -6.329
0.848 -5.366 3.550
Al Pr Pm
6 1 1
direct
0.000 0.609 0.391 Al
0.000 0.031 0.391 Al
0.000 0.609 0.969 Al
0.500 0.467 0.109 Al
0.500 0.891 0.533 Al
0.500 0.892 0.108 Al
0.500 0.417 0.583 Pr
0.000 0.083 0.917 Pm
```

**Formation energy from the elements**: -10.3 kcal/mol of atoms
**Crystal system**: hexagonal

Entry 2:
The following is a PBE calculation of a relaxed BTeRuN2 crystal, from Alexandria.

Cell and atoms, written as POSCAR:
```
BTeRuN2
1.0
-1.917 2.423 2.104
-2.805 -2.455 0.272
2.389 -2.207 4.718
B Te Ru N
1 1 1 2
direct
0.500 0.500 0.500 B
0.000 0.000 0.500 Te
0.000 0.000 0.000 Ru
0.500 0.000 0.000 N
0.000 0.500 0.000 N
```

**Energy above the most stable polymorph in this dataset**: 55 meV/atom
**Crystal system**: tetragonal
**Uncorrected formation energy**: 6.549 eV per formula unit

Entry 3:
The following is a PBE calculation of a relaxed SrCo2As crystal, from Alexandria.

Cell and atoms, written as POSCAR:
```
SrCo2As
1.0
-2.869 0.749 0.750
-0.067 -2.289 2.027
2.467 4.396 5.046
Co Sr As
2 1 1
direct
0.000 0.000 0.575 Co
0.000 0.000 0.925 Co
0.500 0.500 0.250 Sr
0.500 0.500 0.750 As
```

**Formation energy from the elements**: 6.9 kcal/mol of atoms
**Crystal system**: tetragonal

Entry 4:
The following is a PBE calculation of a relaxed ScSi2Tc crystal, from Alexandria.

Cell and atoms, written as POSCAR:
```
ScSi2Tc
1.0
4.223 0.000 0.000
0.000 3.080 -0.024
0.000 0.042 4.978
Tc Si Sc
1 2 1
direct
0.500 0.250 0.250 Tc
0.000 0.250 0.000 Si
0.000 0.250 0.500 Si
0.500 0.750 0.750 Sc
```

**Energy above the most stable polymorph in this dataset**: 265 meV/atom
**Crystal system**: orthorhombic
**Uncorrected formation energy**: -1.769 eV per formula unit

Entry 5:
The following is a PBE calculation of a relaxed AlTl2C crystal, from Alexandria.

Cell and atoms, written as POSCAR:
```
AlTl2C
1.0
0.658 -4.393 2.132
-3.717 -3.229 0.189
0.139 -4.081 -2.757
C Tl Al
1 2 1
direct
0.000 0.000 0.000 C
0.750 0.750 0.750 Tl
0.250 0.250 0.250 Tl
0.500 0.500 0.500 Al
```

**Energy above the most stable polymorph in this dataset**: 258 meV/atom
**Formation energy from the elements**: 33.6 kcal/mol of atoms
**Crystal system**: cubic

Entry 6:
The following is a PBE calculation of a relaxed Bi5Pd12Au2 crystal, from Alexandria.

Cell and atoms, written as POSCAR:
```
Bi5Pd12Au2
1.0
5.561 0.000 0.000
-2.780 7.756 -0.072
0.000 -2.810 9.044
Pd Bi Au
12 5 2
direct
0.586 0.681 0.398 Pd
0.095 0.681 0.398 Pd
0.954 0.388 0.109 Pd
0.046 0.612 0.891 Pd
0.897 0.793 0.707 Pd
0.414 0.319 0.602 Pd
0.566 0.612 0.891 Pd
0.103 0.207 0.293 Pd
0.905 0.319 0.602 Pd
0.434 0.388 0.109 Pd
0.513 0.025 0.363 Pd
0.487 0.975 0.637 Pd
0.000 0.000 0.500 Bi
0.318 0.637 0.653 Bi
0.643 0.285 0.856 Bi
0.682 0.363 0.347 Bi
0.357 0.715 0.144 Bi
0.245 0.000 0.000 Au
0.755 0.000 0.000 Au
```

**Formation energy from the elements**: -2.3 kcal/mol of atoms
**Crystal system**: monoclinic

Which formula does entry 1 have? PmPrAl6

Which formula does entry 4 have? ScSi2Tc